Run a
K2InAs | GGA-PBE | optimized geometry

Calculated values
M_tot: 0.0 Bohr magnetons per cell

abc: 5.3046 4.3024 6.9750
angles: 90.00 112.22 90.00
Positions (direct):
K (0.0000, 0.0000, 0.0000)
K (0.3030, 0.5000, 0.6055)
In (0.6015, 0.5000, 0.2043)
As (0.7335, 0.0000, 0.4623)



Run b
K2InAs | GGA-PBE | optimized geometry

Calculated values
M_tot: 0.0 Bohr magnetons per cell

abc: 8.0249 8.0249 8.0249
angles: 90.00 90.00 90.00
Positions (direct):
K (0.2500, 0.2500, 0.2500)
K (0.2500, 0.2500, 0.7500)
K (0.2500, 0.7500, 0.2500)
K (0.2500, 0.7500, 0.7500)
K (0.7500, 0.2500, 0.2500)
K (0.7500, 0.2500, 0.7500)
K (0.7500, 0.7500, 0.2500)
K (0.7500, 0.7500, 0.7500)
In (0.0000, 0.0000, 0.0000)
In (0.0000, 0.5000, 0.5000)
In (0.5000, 0.0000, 0.5000)
In (0.5000, 0.5000, 0.0000)
As (0.0000, 0.0000, 0.5000)
As (0.0000, 0.5000, 0.0000)
As (0.5000, 0.0000, 0.0000)
As (0.5000, 0.5000, 0.5000)



Which of them is the most stable? Correct choice: run a.



Run a
K2InAs | GGA-PBE | optimized geometry

Calculated values
M_tot: 0.0 Bohr magnetons per cell

abc: 7.0820 10.6799 3.2382
angles: 90.00 90.00 90.00
Positions (direct):
K (0.2500, 0.2500, 0.0000)
K (0.2500, 0.7500, 0.0000)
K (0.7500, 0.2500, 0.0000)
K (0.7500, 0.7500, 0.0000)
In (0.0000, 0.0000, 0.5000)
In (0.5000, 0.5000, 0.5000)
As (0.0000, 0.5000, 0.5000)
As (0.5000, 0.0000, 0.5000)



Run b
K2InAs | GGA-PBE | optimized geometry

Calculated values
M_tot: 0.3 Bohr magnetons per cell

abc: 3.6330 3.6330 34.3562
angles: 90.00 90.00 120.00
Positions (direct):
K (0.0000, 0.0000, 0.2403)
K (0.0000, 0.0000, 0.7597)
K (0.3333, 0.6667, 0.4263)
K (0.3333, 0.6667, 0.9070)
K (0.6667, 0.3333, 0.0930)
K (0.6667, 0.3333, 0.5737)
In (0.0000, 0.0000, 0.0000)
In (0.3333, 0.6667, 0.6667)
In (0.6667, 0.3333, 0.3333)
As (0.0000, 0.0000, 0.5000)
As (0.3333, 0.6667, 0.1667)
As (0.6667, 0.3333, 0.8333)



Which of them is the most stable? Correct choice: run a.



Run a
K2InAs | GGA-PBE | optimized geometry

Calculated values
M_tot: 0.0 Bohr magnetons per cell

abc: 4.1746 5.7174 11.7148
angles: 90.00 90.00 90.00
Positions (direct):
K (0.0000, 0.0000, 0.0000)
K (0.0000, 0.5000, 0.1813)
K (0.5000, 0.0000, 0.6813)
K (0.5000, 0.5000, 0.5000)
In (0.0000, 0.0000, 0.3896)
In (0.5000, 0.5000, 0.8896)
As (0.0000, 0.5000, 0.7408)
As (0.5000, 0.0000, 0.2408)



Run b
K2InAs | GGA-PBE | optimized geometry

Calculated values
M_tot: 0.0 Bohr magnetons per cell

abc: 5.3384 5.3384 8.8572
angles: 90.00 90.00 90.00
Positions (direct):
K (0.0000, 0.0000, 0.0000)
K (0.0000, 0.5000, 0.2500)
K (0.5000, 0.0000, 0.7500)
K (0.5000, 0.5000, 0.5000)
In (0.0000, 0.0000, 0.5000)
In (0.5000, 0.5000, 0.0000)
As (0.0000, 0.5000, 0.7500)
As (0.5000, 0.0000, 0.2500)



Run c
K2InAs | GGA-PBE | optimized geometry

Calculated values
M_tot: 0.0 Bohr magnetons per cell

abc: 3.3594 3.3594 11.0940
angles: 90.00 90.00 90.00
Positions (direct):
K (0.0000, 0.0000, 0.2113)
K (0.0000, 0.0000, 0.7887)
In (0.5000, 0.5000, 0.5000)
As (0.5000, 0.5000, 0.0000)



Which of them is the most stable? Correct choice: run a.



Run a
K2InAs | GGA-PBE | optimized geometry

Calculated values
M_tot: 0.0 Bohr magnetons per cell

abc: 7.7823 4.4854 9.8067
angles: 90.00 104.21 90.00
Positions (direct):
K (0.0000, 0.0000, 0.0000)
K (0.1769, 0.0000, 0.5676)
K (0.5000, 0.5000, 0.0000)
K (0.6769, 0.5000, 0.5676)
In (0.2432, 0.5000, 0.2453)
In (0.7432, 0.0000, 0.2453)
As (0.4450, 0.0000, 0.3587)
As (0.9450, 0.5000, 0.3587)



Run b
K2InAs | GGA-PBE | optimized geometry

Calculated values
M_tot: 0.0 Bohr magnetons per cell

abc: 3.9348 3.9348 9.9425
angles: 90.00 90.00 90.00
Positions (direct):
K (0.0000, 0.0000, 0.0000)
K (0.5000, 0.5000, 0.4290)
In (0.5000, 0.5000, 0.7648)
As (0.0000, 0.0000, 0.6522)



Which of them is the most stable? Correct choice: run a.



Run a
K2InAs2 | GGA-PBE | optimized geometry

Calculated values
M_tot: 0.0 Bohr magnetons per cell

abc: 7.5516 7.5516 5.3599
angles: 90.00 90.00 90.00
Positions (direct):
K (0.1750, 0.3250, 0.0000)
K (0.3250, 0.8250, 0.0000)
K (0.6750, 0.1750, 0.0000)
K (0.8250, 0.6750, 0.0000)
In (0.0000, 0.0000, 0.5000)
In (0.5000, 0.5000, 0.5000)
As (0.1161, 0.6161, 0.5000)
As (0.3839, 0.1161, 0.5000)
As (0.6161, 0.8839, 0.5000)
As (0.8839, 0.3839, 0.5000)



Run b
K2InAs2 | GGA-PBE | optimized geometry

Calculated values
M_tot: 0.0 Bohr magnetons per cell

abc: 7.4497 7.4497 11.1498
angles: 119.03 119.03 36.45
Positions (direct):
K (0.0159, 0.0159, 0.1710)
K (0.1632, 0.1632, 0.5870)
K (0.8368, 0.8368, 0.4130)
K (0.9841, 0.9841, 0.8290)
In (0.2986, 0.2986, 0.1432)
In (0.7014, 0.7014, 0.8568)
As (0.3312, 0.3312, 0.9194)
As (0.4967, 0.4967, 0.6121)
As (0.5033, 0.5033, 0.3879)
As (0.6688, 0.6688, 0.0806)



Which of them is the most stable? Correct choice: run b.



Run a
KIn3As | GGA-PBE | optimized geometry

Calculated values
M_tot: 0.0 Bohr magnetons per cell

abc: 5.9254 5.9254 5.9254
angles: 90.00 90.00 90.00
Positions (direct):
K (0.0000, 0.0000, 0.0000)
In (0.0000, 0.0000, 0.5000)
In (0.0000, 0.5000, 0.0000)
In (0.5000, 0.0000, 0.0000)
As (0.5000, 0.5000, 0.5000)



Run b
KIn3As | GGA-PBE | optimized geometry

Calculated values
M_tot: 0.0 Bohr magnetons per cell

abc: 5.5585 5.5585 5.5585
angles: 90.00 90.00 90.00
Positions (direct):
K (0.0000, 0.0000, 0.0000)
In (0.0000, 0.5000, 0.5000)
In (0.5000, 0.0000, 0.5000)
In (0.5000, 0.5000, 0.0000)
As (0.5000, 0.5000, 0.5000)



Which of them is the most stable? Correct choice: run b.